{
  "formula": "WCl2F",
  "functional": "PBE+U",
  "state": "optimized geometry",
  "e_above_lowest_polymorph_kcal_per_mol_atoms": 2.64,
  "total_magnetization_mub_per_fu": 3.000,
  "sg": "I-42d, No. 122",
  "lattice_angstrom": [[-2.3498, 2.3498, 7.7921], [2.3498, -2.3498, 7.7921], [2.3498, 2.3498, -7.7921]],
  "species": ["W", "W", "Cl", "Cl", "Cl", "Cl", "F", "F"],
  "frac_coords": [[0.0000, 0.0000, 0.0000], [0.7500, 0.2500, 0.5000], [0.0889, 0.6250, 0.9639], [0.3750, 0.3389, 0.4639], [0.6611, 0.1250, 0.0361], [0.8750, 0.9111, 0.5361], [0.2500, 0.7500, 0.5000], [0.5000, 0.5000, 0.0000]]
}